SmMgBi | GGA-PBE | optimized geometry

abc: 4.8704 4.8704 4.1261
angles: 90.00 90.00 120.00
Last column: nearest neighbours and their distance in Å.
Fractional positions:
Sm 0.0000 0.0000 0.0000  6 Mg 3.46-3.51, 6 Bi 3.47-3.50
Mg 0.3333 0.6667 0.5098  3 Bi 2.81
Bi 0.6667 0.3333 0.4944  3 Mg 2.81

Values from the calculation:
DFT total energy = -3.81 eV per atom
ρ = 7.52 Mg/m³
SG = No. 156
energy of formation = -0.41 eV/atom
energy above the most stable polymorph in this dataset = 0.000 eV/f.u.
M_tot = 0.00 μB per formula unit